{
  "formula": "BaTlZn2Ag",
  "functional": "PBE",
  "state": "optimized geometry",
  "space_group": "P4/mmm, No. 123",
  "total_magnetization_mub_per_fu": 0.0,
  "e_tot_ev_per_atom": -1.611,
  "formation_enthalpy_0k_ev_per_atom": 0.326,
  "cell": [[-3.968, -1.024, -3.177], [4.375, -1.650, -4.933], [-0.028, -4.925, 1.622]],
  "species": ["Zn", "Zn", "Ag", "Tl", "Ba"],
  "fractional_positions": [[0.000, 0.000, 0.500], [0.500, 0.000, 0.000], [0.500, 0.500, 0.500], [0.000, 0.000, 0.000], [0.000, 0.500, 0.000]]
}